LiTmAl2Pt4 | PBE | optimized geometry

As for the formation enthalpy at 0 K: -8.3 eV per formula unit.

The structure belongs to space group R-3m (No. 166, hexagonal axes); the cell edges are 4.2907, 4.2907 and 24.3336 Å and the angles 90.00°, 90.00° and 120.00°. Symmetry generates all atoms from Li at (0.0000, 0.0000, 0.0000), Tm at (0.0000, 0.0000, 0.5000), Al at (0.0000, 0.0000, 0.2610), Pt at (0.0000, 0.0000, 0.1009) and Pt at (0.0000, 0.0000, 0.3699).

LiTmAlPt | PBE | optimized geometry

As for the formation enthalpy at 0 K: -3.3 eV per formula unit.

The structure belongs to space group F-43m (No. 216); the cell edges are 6.5404, 6.5404 and 6.5404 Å and the angles 90.00°, 90.00° and 90.00°. Symmetry generates all atoms from Li at (0.0000, 0.0000, 0.0000), Tm at (0.2500, 0.2500, 0.2500), Al at (0.2500, 0.2500, 0.7500) and Pt at (0.0000, 0.0000, 0.5000).

LiUAl2Pt4 | PBE | optimized geometry

As for the formation enthalpy at 0 K: -7.1 eV per formula unit.

The structure belongs to space group R-3m (No. 166, hexagonal axes); the cell edges are 4.2374, 4.2374 and 25.2383 Å and the angles 90.00°, 90.00° and 120.00°. Symmetry generates all atoms from Li at (0.0000, 0.0000, 0.0000), U at (0.0000, 0.0000, 0.5000), Al at (0.0000, 0.0000, 0.2640), Pt at (0.0000, 0.0000, 0.1021) and Pt at (0.0000, 0.0000, 0.3682).

LiYAlPt2 | PBE | optimized geometry

As for the formation enthalpy at 0 K: -4.9 eV per formula unit.

The structure belongs to space group I-4m2 (No. 119); the cell edges are 3.8248, 3.8248 and 12.3582 Å and the angles 90.00°, 90.00° and 90.00°. Symmetry generates all atoms from Li at (0.0000, 0.0000, 0.0000), Y at (0.0000, 0.5000, 0.2500), Al at (0.0000, 0.0000, 0.5000) and Pt at (0.0000, 0.5000, 0.6376).

LiY2Al3Pt4 | PBE | optimized geometry

As for the formation enthalpy at 0 K: -10.4 eV per formula unit.

The structure belongs to space group P-4m2 (No. 115); the cell edges are 4.0675, 4.0675 and 11.0729 Å and the angles 90.00°, 90.00° and 90.00°. Symmetry generates all atoms from Li at (0.0000, 0.0000, 0.0000), Y at (0.0000, 0.5000, 0.7539), Al at (0.0000, 0.5000, 0.3686), Al at (0.5000, 0.5000, 0.0000), Pt at (0.0000, 0.0000, 0.5000), Pt at (0.0000, 0.5000, 0.1442) and Pt at (0.5000, 0.5000, 0.5000).

Li2PuAl10 | PBE | optimized geometry

As for the formation enthalpy at 0 K: -1.5 eV per formula unit.

The structure belongs to space group Fmmm (No. 69); the cell edges are 5.3096, 12.6711 and 13.2752 Å and the angles 90.00°, 90.00° and 90.00°. Symmetry generates all atoms from Li at (0.2500, 0.0000, 0.2500), Pu at (0.0000, 0.0000, 0.0000), Al at (0.0000, 0.1079, 0.3885), Al at (0.0000, 0.1755, 0.1765) and Al at (0.2500, 0.2500, 0.0000).

Li2Pu2Al15 | PBE | optimized geometry

As for the formation enthalpy at 0 K: -2.5 eV per formula unit.

The structure belongs to space group R-3m (No. 166, hexagonal axes); the cell edges are 9.2829, 9.2829 and 13.7272 Å and the angles 90.00°, 90.00° and 120.00°. Symmetry generates all atoms from Li at (0.0000, 0.0000, 0.0981), Pu at (0.0000, 0.0000, 0.3422), Al at (0.0000, 0.2981, 0.0000), Al at (0.0000, 0.5000, 0.5000) and Al at (0.0068, 0.5034, 0.1504).

LiPu2Al6 | PBE | optimized geometry

As for the formation enthalpy at 0 K: -1.8 eV per formula unit.

The structure belongs to space group P6/mmm (No. 191); the cell edges are 8.1830, 8.1830 and 2.9796 Å and the angles 90.00°, 90.00° and 120.00°. Symmetry generates all atoms from Li at (0.0000, 0.0000, 0.0000), Pu at (0.3333, 0.6667, 0.0000) and Al at (0.0000, 0.3273, 0.5000).

LiPu3Al8 | PBE | optimized geometry

As for the formation enthalpy at 0 K: -3.1 eV per formula unit.

The structure belongs to space group R3m (No. 160, hexagonal axes); the cell edges are 5.4966, 5.4966 and 26.8813 Å and the angles 90.00°, 90.00° and 120.00°. Symmetry generates all atoms from Li at (0.0000, 0.0000, 0.0000), Pu at (0.0000, 0.0000, 0.3756), Pu at (0.0000, 0.0000, 0.4984), Pu at (0.0000, 0.0000, 0.8750), Al at (0.0000, 0.0000, 0.1872), Al at (0.0000, 0.0000, 0.6879), Al at (0.0011, 0.5006, 0.9376) and Al at (0.0016, 0.5008, 0.4367).

LiPuAl | PBE | optimized geometry

As for the formation enthalpy at 0 K: 0.5 eV per formula unit.

The structure belongs to space group R-3m (No. 166, hexagonal axes); the cell edges are 5.0786, 5.0786 and 17.5989 Å and the angles 90.00°, 90.00° and 120.00°. Symmetry generates all atoms from Li at (0.0000, 0.0000, 0.1420), Pu at (0.0000, 0.0000, 0.3166), Al at (0.0000, 0.0000, 0.0000) and Al at (0.0000, 0.0000, 0.5000).

Li2PuAl | PBE | optimized geometry

As for the formation enthalpy at 0 K: 0.5 eV per formula unit.

The structure belongs to space group Fm-3m (No. 225); the cell edges are 6.7795, 6.7795 and 6.7795 Å and the angles 90.00°, 90.00° and 90.00°. Symmetry generates all atoms from Li at (0.2500, 0.2500, 0.2500), Pu at (0.0000, 0.0000, 0.0000) and Al at (0.0000, 0.0000, 0.5000).

LiPu2Al3 | PBE | optimized geometry

As for the formation enthalpy at 0 K: -1.3 eV per formula unit.

The structure belongs to space group R-3m (No. 166, hexagonal axes); the cell edges are 5.5788, 5.5788 and 13.2112 Å and the angles 90.00°, 90.00° and 120.00°. Symmetry generates all atoms from Li at (0.0000, 0.0000, 0.0000), Pu at (0.0000, 0.0000, 0.3828) and Al at (0.0000, 0.5000, 0.5000).

LiPuAl | PBE | optimized geometry

As for the formation enthalpy at 0 K: 0.6 eV per formula unit.

The structure belongs to space group I4mm (No. 107); the cell edges are 2.5633, 2.5633 and 14.7879 Å and the angles 90.00°, 90.00° and 90.00°. Symmetry generates all atoms from Li at (0.0000, 0.0000, 0.0000), Pu at (0.0000, 0.0000, 0.6895) and Al at (0.0000, 0.0000, 0.3553).

Li2PuAl | PBE | optimized geometry

As for the formation enthalpy at 0 K: 0.9 eV per formula unit.

The structure belongs to space group R-3m (No. 166, hexagonal axes); the cell edges are 2.6748, 2.6748 and 31.8867 Å and the angles 90.00°, 90.00° and 120.00°. Symmetry generates all atoms from Li at (0.0000, 0.0000, 0.0909), Pu at (0.0000, 0.0000, 0.0000) and Al at (0.0000, 0.0000, 0.5000).

LiPu2Al9 | PBE | optimized geometry

As for the formation enthalpy at 0 K: -1.7 eV per formula unit.

The structure belongs to space group R-3m (No. 166, hexagonal axes); the cell edges are 5.4991, 5.4991 and 26.7473 Å and the angles 90.00°, 90.00° and 120.00°. Symmetry generates all atoms from Li at (0.0000, 0.0000, 0.0000), Pu at (0.0000, 0.0000, 0.1458), Al at (0.0000, 0.0000, 0.3345), Al at (0.0000, 0.0000, 0.5000) and Al at (0.0060, 0.5030, 0.9163).

LiPuAl | PBE | optimized geometry

As for the formation enthalpy at 0 K: -0.2 eV per formula unit.

The structure belongs to space group P-6m2 (No. 187); the cell edges are 4.9086, 4.9086 and 2.8474 Å and the angles 90.00°, 90.00° and 120.00°. Symmetry generates all atoms from Li at (0.0000, 0.0000, 0.0000), Pu at (0.6667, 0.3333, 0.5000) and Al at (0.3333, 0.6667, 0.0000).

LiPuAl4 | PBE | optimized geometry

As for the formation enthalpy at 0 K: -0.9 eV per formula unit.

The structure belongs to space group F-43m (No. 216); the cell edges are 7.7608, 7.7608 and 7.7608 Å and the angles 90.00°, 90.00° and 90.00°. Symmetry generates all atoms from Li at (0.0000, 0.0000, 0.0000), Pu at (0.2500, 0.2500, 0.7500) and Al at (0.1243, 0.1243, 0.3757).

LiPuAlRe | PBE | optimized geometry

As for the formation enthalpy at 0 K: 0.3 eV per formula unit.

The structure belongs to space group F-43m (No. 216); the cell edges are 6.4945, 6.4945 and 6.4945 Å and the angles 90.00°, 90.00° and 90.00°. Symmetry generates all atoms from Li at (0.0000, 0.0000, 0.0000), Pu at (0.2500, 0.2500, 0.7500), Al at (0.2500, 0.2500, 0.2500) and Re at (0.0000, 0.0000, 0.5000).

LiPuAlRu | PBE | optimized geometry

As for the formation enthalpy at 0 K: -0.6 eV per formula unit.

The structure belongs to space group F-43m (No. 216); the cell edges are 6.5154, 6.5154 and 6.5154 Å and the angles 90.00°, 90.00° and 90.00°. Symmetry generates all atoms from Li at (0.0000, 0.0000, 0.0000), Pu at (0.2500, 0.2500, 0.7500), Al at (0.2500, 0.2500, 0.2500) and Ru at (0.0000, 0.0000, 0.5000).

Li3Pu3AlS8 | PBE | optimized geometry

As for the uncorrected formation energy: -1372 meV/atom.

The structure belongs to space group C2/m (No. 12); the cell edges are 12.9928, 7.7950 and 7.5328 Å and the angles 90.00°, 123.18° and 90.00°. Symmetry generates all atoms from Li at (0.0000, 0.0000, 0.0000), Li at (0.2500, 0.2500, 0.5000), Pu at (0.0000, 0.5000, 0.5000), Pu at (0.2500, 0.2500, 0.0000), Al at (0.0000, 0.0000, 0.5000), S at (0.0023, 0.2253, 0.2721), S at (0.2307, 0.0000, 0.7291) and S at (0.2481, 0.0000, 0.2497).

Number 1: total moment 0.00 μB per cell, final energy -0.21285 Ha/atom. Number 2: total moment 0.00 μB per cell, final energy -0.17880 Ha/atom. Number 3: total moment 4.78 μB per cell, final energy -0.23862 Ha/atom. Number 4: total moment 0.00 μB per cell, final energy -0.21402 Ha/atom. Number 5: total moment 0.00 μB per cell, final energy -0.22282 Ha/atom. Number 6: total moment 22.28 μB per cell, final energy -0.16136 Ha/atom. Number 7: total moment 32.99 μB per cell, final energy -0.17624 Ha/atom. Number 8: total moment 10.45 μB per cell, final energy -0.22373 Ha/atom. Number 9: total moment 15.87 μB per cell, final energy -0.23864 Ha/atom. Number 10: total moment 33.79 μB per cell, final energy -0.23875 Ha/atom. Number 11: total moment 22.81 μB per cell, final energy -0.19641 Ha/atom. Number 12: total moment 32.81 μB per cell, final energy -0.26398 Ha/atom. Number 13: total moment 0.46 μB per cell, final energy -0.23728 Ha/atom. Number 14: total moment 4.25 μB per cell, final energy -0.19260 Ha/atom. Number 15: total moment 35.02 μB per cell, final energy -0.20214 Ha/atom. Number 16: total moment 5.56 μB per cell, final energy -0.24773 Ha/atom. Number 17: total moment 24.41 μB per cell, final energy -0.19644 Ha/atom. Number 18: total moment 19.59 μB per cell, final energy -0.29485 Ha/atom. Number 19: total moment 21.13 μB per cell, final energy -0.27455 Ha/atom. Number 20: total moment 9.26 μB per cell, final energy -0.25988 Ha/atom.